[1]
A plane-wave DFT calculation with PBE was carried out for Dy5In2OsRu2 after structural relaxation.

Cell: 11.652 11.652 3.475 Å, 90.00 90.00 90.00°
Space group P4/mbm (No. 127)
Inequivalent atoms, fractional coordinates:
Dy1 0.000 0.500 0.000 [2 per cell]
Dy2 0.059 0.196 0.000 [8 per cell]
In1 0.185 0.685 0.500 [4 per cell]
Os1 0.000 0.000 0.500 [2 per cell]
Ru1 0.136 0.364 0.500 [4 per cell]

[2]
A plane-wave DFT calculation with PBE was carried out for SmDyInOs after structural relaxation.

Cell: 7.206 7.206 7.206 Å, 90.00 90.00 90.00°
Space group F-43m (No. 216)
Inequivalent atoms, fractional coordinates:
Sm1 0.000 0.000 0.000 [4 per cell]
Dy1 0.000 0.000 0.500 [4 per cell]
In1 0.250 0.250 0.250 [4 per cell]
Os1 0.250 0.250 0.750 [4 per cell]

[3]
A plane-wave DFT calculation with PBE was carried out for TbDyInOs after structural relaxation.

Cell: 7.144 7.144 7.144 Å, 90.00 90.00 90.00°
Space group F-43m (No. 216)
Inequivalent atoms, fractional coordinates:
Tb1 0.000 0.000 0.000 [4 per cell]
Dy1 0.000 0.000 0.500 [4 per cell]
In1 0.250 0.250 0.750 [4 per cell]
Os1 0.250 0.250 0.250 [4 per cell]

Results
For the energy above the lowest structure with this stoichiometry, the calculation gives 119 meV per atom.

[4]
A plane-wave DFT calculation with PBE was carried out for TbDyInOs after structural relaxation.

Cell: 3.433 3.433 8.055 Å, 90.00 90.00 90.00°
Space group P4mm (No. 99)
Inequivalent atoms, fractional coordinates:
Tb1 0.000 0.000 0.000 [1 per cell]
Dy1 0.000 0.000 0.588 [1 per cell]
In1 0.500 0.500 0.295 [1 per cell]
Os1 0.500 0.500 0.793 [1 per cell]

Results
For the energy above the lowest structure with this stoichiometry, the calculation gives 0 meV per atom.

[5]
A plane-wave DFT calculation with PBE was carried out for DyInP2 after structural relaxation.

Cell: 4.0069 4.0069 19.0733 Å, 90.00 90.00 120.00°
Space group R-3m (No. 166, hexagonal axes)
Inequivalent atoms, fractional coordinates:
Dy1 0.0000 0.0000 0.0000 [3 per cell]
In1 0.0000 0.0000 0.5000 [3 per cell]
P1 0.0000 0.0000 0.2474 [6 per cell]

[6]
A plane-wave DFT calculation with PBE was carried out for DyInP after structural relaxation.

Cell: 4.8142 4.8142 24.3616 Å, 90.00 90.00 120.00°
Space group R-3m (No. 166, hexagonal axes)
Inequivalent atoms, fractional coordinates:
Dy1 0.0000 0.0000 0.1050 [6 per cell]
In1 0.0000 0.0000 0.3248 [6 per cell]
P1 0.0000 0.0000 0.2166 [6 per cell]

Number 1: formation enthalpy at 0 K -267 meV/atom. Number 2: formation enthalpy at 0 K -188 meV/atom. Number 3: formation enthalpy at 0 K -233 meV/atom. Number 4: formation enthalpy at 0 K -352 meV/atom. Number 5: formation enthalpy at 0 K -666 meV/atom. Number 6: formation enthalpy at 0 K -716 meV/atom.